1.
In2Pd3Pt3 (PBE, relaxed); total magnetization = 0.0 μB per cell; raw total energy = -5.30 eV/atom; DFT formation energy = -0.41 eV/atom
1.0
-3.228 -1.151 -2.081
-1.446 -1.868 3.276
-3.856 6.841 2.198
In Pd Pt
2 3 3
direct
0.000 0.000 0.752
0.000 0.000 0.248
0.500 0.500 0.750
0.500 0.500 0.250
0.500 0.000 0.000
0.500 0.000 0.500
0.000 0.500 0.000
0.000 0.500 0.500



2.
Li2ZrAl2 (PBE, relaxed); total magnetization = 0.0 μB per cell; raw total energy = -4.16 eV/atom; DFT formation energy = -0.18 eV/atom; offset from the most stable computed form = 0.000 eV/atom
1.0
-3.931 5.423 -3.866
-3.086 -5.461 -4.523
-2.124 -0.272 1.778
Al Zr Li
4 2 4
direct
0.181 0.681 0.500
0.681 0.819 0.500
0.819 0.319 0.500
0.319 0.181 0.500
0.000 0.000 0.000
0.500 0.500 0.000
0.384 0.884 0.000
0.884 0.616 0.000
0.616 0.116 0.000
0.116 0.384 0.000



3.
PmPr5Si4 (PBE, relaxed); uncorrected formation energy = -0.474 eV per atom; total magnetization = 0.0 μB per cell; raw total energy = -5.51 eV/atom
1.0
5.156 0.000 0.000
0.000 6.512 -2.646
-2.578 -3.496 9.916
Pm Pr Si
1 5 4
direct
0.500 0.000 0.000
0.834 0.677 0.669
0.836 0.166 0.671
0.164 0.834 0.329
0.500 0.500 0.000
0.166 0.323 0.331
0.324 0.897 0.647
0.991 0.737 0.982
0.676 0.103 0.353
0.009 0.263 0.018



Look up the total magnetization of the third one. 0.0 μB per cell



Please write out number 3 again, unchanged.
PmPr5Si4 (PBE, relaxed); uncorrected formation energy = -0.474 eV per atom; total magnetization = 0.0 μB per cell; raw total energy = -5.51 eV/atom
1.0
5.156 0.000 0.000
0.000 6.512 -2.646
-2.578 -3.496 9.916
Pm Pr Si
1 5 4
direct
0.500 0.000 0.000
0.834 0.677 0.669
0.836 0.166 0.671
0.164 0.834 0.329
0.500 0.500 0.000
0.166 0.323 0.331
0.324 0.897 0.647
0.991 0.737 0.982
0.676 0.103 0.353
0.009 0.263 0.018



The highest raw total energy belongs to which entry? Li2ZrAl2